This record from Alexandria describes crystalline AuSeI2 at its relaxed geometry. The functional is PBE-GGA.

Unit cell a=7.8416 b=7.8416 c=8.1110 alpha=90.00 beta=90.00 gamma=90.00
Space group I-42d (No. 122)
Symmetry-distinct sites (fractional):
Au: 0.0000 0.0000 0.0000 (multiplicity 4)
Se: 0.0000 0.0000 0.5000 (multiplicity 4)
I: 0.2282 0.7500 0.1250 (multiplicity 8)

## Properties
Its offset from the most stable computed form is 0.430 eV per atom. Its uncorrected formation energy is 40.53 kJ per mole of atoms. Its density of states at the Fermi level is 6.603 states/eV/f.u.



This record from Alexandria describes crystalline SbPt2Cl at its relaxed geometry. The functional is PBE-GGA.

Unit cell a=6.2266 b=3.5872 c=7.4690 alpha=90.00 beta=106.00 gamma=90.00
Space group C2/m (No. 12)
Symmetry-distinct sites (fractional):
Sb: 0.0000 0.0000 0.0000 (multiplicity 2)
Pt: 0.2428 0.5000 0.2298 (multiplicity 4)
Cl: 0.0000 0.5000 0.5000 (multiplicity 2)

## Properties
Its offset from the most stable computed form is 0.070 eV per atom. Its uncorrected formation energy is -9.91 kJ per mole of atoms. Its density of states at the Fermi level is 1.095 states/eV/f.u.



This record from Alexandria describes crystalline Sr5Pb at its relaxed geometry. The functional is PBE-GGA.

Unit cell a=14.4014 b=4.4028 c=9.6789 alpha=90.00 beta=111.32 gamma=90.00
Space group C2/m (No. 12)
Symmetry-distinct sites (fractional):
Sr: 0.0000 0.0000 0.0000 (multiplicity 2)
Sr: 0.1340 0.5000 0.3677 (multiplicity 4)
Sr: 0.1641 0.5000 0.7868 (multiplicity 4)
Pb: 0.0000 0.0000 0.5000 (multiplicity 2)

## Properties
Its offset from the most stable computed form is 0.010 eV per atom. For the formation enthalpy at 0 K, the calculation gives -17 kJ/mol of atoms. Its density of states at the Fermi level is 6.169 states/eV/f.u.



This record from Alexandria describes crystalline Tm3AlTe6 at its relaxed geometry. The functional is PBE-GGA.

Unit cell a=11.9915 b=14.8521 c=7.1956 alpha=90.00 beta=90.00 gamma=90.00
Space group Cmc2_1 (No. 36)
Symmetry-distinct sites (fractional):
Tm: 0.0000 0.0946 0.0000 (multiplicity 4)
Tm: 0.1813 0.4028 0.1079 (multiplicity 8)
Al: 0.0000 0.2951 0.6444 (multiplicity 4)
Te: 0.0000 0.2794 0.2789 (multiplicity 4)
Te: 0.0000 0.4604 0.7922 (multiplicity 4)
Te: 0.1640 0.0372 0.3015 (multiplicity 8)
Te: 0.1705 0.2295 0.8312 (multiplicity 8)

## Properties
Its uncorrected formation energy is -104.20 kJ per mole of atoms.



no.,E_tot (eV/cell),spin magnetization (μB per cell)
1,-32.73,0.00
2,-36.92,0.00
3,-26.37,0.00
4,-187.23,0.00